No. 1
VASP calculation (PBE-GGA) on an optimized crystal structure of GaSiBi2Os.

Calculated values
As for the energy relative to the elements, uncorrected: 0.93 eV per atom. The space group is No. 123. The final energy is -22.796 eV/cell. The total magnetic moment is 0.0 μB/f.u.

Cell and atoms, written as CIF:
```
data_GaSiBi2Os
_space_group_name_H-M_alt 'P 1'
_space_group_IT_number 1
_cell_length_a 5.4789
_cell_length_b 4.4819
_cell_length_c 5.4789
_cell_angle_alpha 90.00
_cell_angle_beta 90.00
_cell_angle_gamma 90.00
loop_
_space_group_symop_operation_xyz
'x,y,z'
loop_
_atom_site_label
_atom_site_fract_x
_atom_site_fract_y
_atom_site_fract_z
_atom_site_occupancy
Si1 0.0000 0.0000 0.0000 1
Bi1 0.0000 0.0000 0.5000 1
Bi2 0.5000 0.0000 0.0000 1
Ga1 0.5000 0.5000 0.5000 1
Os1 0.0000 0.5000 0.0000 1
```

***

No. 2
VASP calculation (PBE-GGA) on an optimized crystal structure of TaGaBi2Os.

Calculated values
The space group is No. 123. The final energy is -24.531 eV/cell. The total magnetic moment is 1.7 μB/f.u.

Cell and atoms, written as CIF:
```
data_TaGaBi2Os
_space_group_name_H-M_alt 'P 1'
_space_group_IT_number 1
_cell_length_a 5.1942
_cell_length_b 4.8355
_cell_length_c 5.1942
_cell_angle_alpha 90.00
_cell_angle_beta 90.00
_cell_angle_gamma 90.00
loop_
_space_group_symop_operation_xyz
'x,y,z'
loop_
_atom_site_label
_atom_site_fract_x
_atom_site_fract_y
_atom_site_fract_z
_atom_site_occupancy
Os1 0.5000 0.5000 0.5000 1
Bi1 0.0000 0.0000 0.5000 1
Bi2 0.5000 0.0000 0.0000 1
Ga1 0.0000 0.0000 0.0000 1
Ta1 0.0000 0.5000 0.0000 1
```

***

What is the formula in the first record?
GaSiBi2Os